No. 1
Compound: KCoMo3
Source: OQMD via LeMat-Bulk
Functional: GGA-PBE
Structure: relaxed

```
KCoMo3
1.0
-3.2734 3.2734 4.6870
3.2734 -3.2734 4.6870
3.2734 3.2734 -4.6870
Co K Mo
2 2 6
Direct
0.0000 0.0000 0.0000
0.5000 0.5000 0.0000
0.2500 0.7500 0.5000
0.7500 0.2500 0.5000
0.7482 0.7518 0.5000
0.7518 0.2518 0.0037
0.7500 0.7500 0.0000
0.2500 0.2500 0.0000
0.2518 0.2482 0.5000
0.2482 0.7482 0.9963
```

- Space-group type: I4/mcm, No. 140
- Raw total energy: -6.49 eV per atom

***

No. 2
Compound: KCo3N5
Source: OQMD via LeMat-Bulk
Functional: GGA-PBE
Structure: relaxed

```
KCo3N5
1.0
4.7380 0.0000 0.0000
-2.3690 4.1032 0.0000
0.0000 0.0000 5.7214
N K Co
5 1 3
Direct
0.6667 0.3333 0.7214
0.0000 0.0000 0.5000
0.3333 0.6667 0.2786
0.3333 0.6667 0.7214
0.6667 0.3333 0.2786
0.0000 0.0000 0.0000
0.0000 0.5000 0.5000
0.5000 0.5000 0.5000
0.5000 0.0000 0.5000
```

- Space-group type: P6/mmm, No. 191
- Raw total energy: -6.26 eV per atom

***

No. 3
Compound: KNaCoRe
Source: OQMD via LeMat-Bulk
Functional: GGA-PBE
Structure: relaxed

```
KNaCoRe
1.0
0.0000 3.3102 3.3102
3.3102 0.0000 3.3102
3.3102 3.3102 0.0000
K Na Re Co
1 1 1 1
Direct
0.0000 0.0000 0.0000
0.7500 0.7500 0.7500
0.5000 0.5000 0.5000
0.2500 0.2500 0.2500
```

- Space-group type: F-43m, No. 216
- Excess energy over the best structure of this formula in the dataset: 6 kJ/mol of formula units
- Raw total energy: -3.85 eV per atom